Entry 1:
{
  "formula": "CdGe2Te2",
  "functional": "PBE",
  "state": "relaxed",
  "space_group": "I4/mmm (139)",
  "e_form_raw_ev_per_atom": 0.209,
  "relative_energy_ev_per_fu": 0.61,
  "lattice": [[-2.5428, 2.5428, 6.5870], [2.5428, -2.5428, 6.5870], [2.5428, 2.5428, -6.5870]],
  "species": ["Cd", "Ge", "Ge", "Te", "Te"],
  "fractional_positions": [[0.0000, 0.0000, 0.0000], [0.2500, 0.7500, 0.5000], [0.7500, 0.2500, 0.5000], [0.3552, 0.3552, 0.0000], [0.6448, 0.6448, 0.0000]]
}



Entry 2:
{
  "formula": "Cd2Ge2Te",
  "functional": "PBE",
  "state": "relaxed",
  "space_group": "I4/mmm (139)",
  "e_form_raw_ev_per_atom": 0.237,
  "relative_energy_ev_per_fu": 0.55,
  "lattice": [[-2.3459, 2.3459, 5.5875], [2.3459, -2.3459, 5.5875], [2.3459, 2.3459, -5.5875]],
  "species": ["Cd", "Cd", "Ge", "Ge", "Te"],
  "fractional_positions": [[0.2500, 0.7500, 0.5000], [0.7500, 0.2500, 0.5000], [0.1091, 0.1091, 0.0000], [0.8909, 0.8909, 0.0000], [0.5000, 0.5000, 0.0000]]
}



Copy entry 2 word for word.
{
  "formula": "Cd2Ge2Te",
  "functional": "PBE",
  "state": "relaxed",
  "space_group": "I4/mmm (139)",
  "e_form_raw_ev_per_atom": 0.237,
  "relative_energy_ev_per_fu": 0.55,
  "lattice": [[-2.3459, 2.3459, 5.5875], [2.3459, -2.3459, 5.5875], [2.3459, 2.3459, -5.5875]],
  "species": ["Cd", "Cd", "Ge", "Ge", "Te"],
  "fractional_positions": [[0.2500, 0.7500, 0.5000], [0.7500, 0.2500, 0.5000], [0.1091, 0.1091, 0.0000], [0.8909, 0.8909, 0.0000], [0.5000, 0.5000, 0.0000]]
}



> Number 1 is which compound?

CdGe2Te2